# 1
Density functional theory data (GGA-PBE) for a relaxed structure of Mn2FeCoP2.

Unit cell a=3.4977 b=6.6574 c=5.8008 alpha=90.00 beta=90.00 gamma=90.00
Last column: nearest neighbours and their distance in Å.
Fractional coordinates of all 12 atoms:
Mn: 0.0000 0.0789 0.0000  5 P 2.40-2.50, 2 Fe 2.68
Mn: 0.0000 0.9211 0.5000  5 P 2.40-2.50, 2 Fe 2.68
Mn: 0.5000 0.4205 0.9428  5 P 2.42-2.52, 4 Co 2.66-2.68, 1 Fe 2.69
Mn: 0.5000 0.5795 0.4428  5 P 2.42-2.52, 4 Co 2.66-2.68, 1 Fe 2.69
Fe: 0.5000 0.1881 0.3268  4 P 2.19-2.23
Fe: 0.5000 0.8119 0.8268  4 P 2.19-2.23
Co: 0.0000 0.3161 0.6196  4 P 2.18-2.24
Co: 0.0000 0.6839 0.1196  4 P 2.18-2.24
P: 0.0000 0.3728 0.2392  2 Co 2.18-2.24, 2 Fe 2.20, 1 Mn 2.40
P: 0.0000 0.6272 0.7392  2 Co 2.18-2.24, 2 Fe 2.20, 1 Mn 2.40
P: 0.5000 0.1235 0.7036  2 Fe 2.19-2.23, 2 Co 2.22, 1 Mn 2.42
P: 0.5000 0.8765 0.2036  2 Fe 2.19-2.23, 2 Co 2.22, 1 Mn 2.42

E ... -8.047 eV per atom
ΔE_f ... -593 meV per atom


# 2
Density functional theory data (GGA-PBE) for a relaxed structure of PaMnFeCo.

Unit cell a=4.3988 b=4.3988 c=4.3988 alpha=60.00 beta=60.00 gamma=60.00
Last column: nearest neighbours and their distance in Å.
Fractional coordinates of all 4 atoms:
Pa: 0.0000 0.0000 0.0000  4 Fe 2.69, 4 Co 2.69
Mn: 0.5000 0.5000 0.5000  4 Fe 2.69, 4 Co 2.69
Fe: 0.7500 0.7500 0.7500  4 Mn 2.69, 4 Pa 2.69
Co: 0.2500 0.2500 0.2500  4 Mn 2.69, 4 Pa 2.69

E ... -8.551 eV per atom
ΔE_f ... 7 meV per atom


# 3
Density functional theory data (GGA-PBE) for a relaxed structure of MnFeCoRu.

Unit cell a=4.1406 b=4.1406 c=4.1406 alpha=60.00 beta=60.00 gamma=60.00
Last column: nearest neighbours and their distance in Å.
Fractional coordinates of all 4 atoms:
Mn: 0.0000 0.0000 0.0000  4 Co 2.54, 4 Ru 2.54
Fe: 0.5000 0.5000 0.5000  4 Co 2.54, 4 Ru 2.54
Co: 0.7500 0.7500 0.7500  4 Mn 2.54, 4 Fe 2.54
Ru: 0.2500 0.2500 0.2500  4 Mn 2.54, 4 Fe 2.54

E ... -8.416 eV per atom
ΔE_f ... 87 meV per atom